{
  "formula": "Er3Tm2Se6",
  "functional": "GGA-PBE",
  "state": "relaxed",
  "lattice": [[3.482, -6.002, 0.000], [3.482, 6.002, 0.000], [-2.316, 0.000, 6.538]],
  "species": ["Er", "Er", "Er", "Tm", "Tm", "Se", "Se", "Se", "Se", "Se", "Se"],
  "fractional_positions": [[0.000, 0.000, 0.000], [0.335, 0.665, 0.000], [0.665, 0.335, 0.000], [0.165, 0.835, 0.500], [0.835, 0.165, 0.500], [0.089, 0.418, 0.254], [0.254, 0.254, 0.743], [0.418, 0.089, 0.254], [0.582, 0.911, 0.746], [0.746, 0.746, 0.257], [0.911, 0.582, 0.746]],
  "raw_formation_energy_ev_per_atom": -1.82,
  "relative_energy_kj_per_mol_atoms": 0.0,
  "rho_g_cm3": 7.982
}

{
  "formula": "CaRhO2",
  "functional": "GGA-PBE",
  "state": "relaxed",
  "lattice": [[0.000, 2.857, 2.857], [2.857, 0.000, 2.857], [2.857, 2.857, 0.000]],
  "species": ["Ca", "Rh", "O", "O"],
  "fractional_positions": [[0.000, 0.000, 0.000], [0.500, 0.500, 0.500], [0.250, 0.250, 0.250], [0.750, 0.750, 0.750]],
  "raw_formation_energy_ev_per_atom": -1.05,
  "rho_g_cm3": 6.227
}

{
  "formula": "DyHo2Tl4",
  "functional": "GGA-PBE",
  "state": "relaxed",
  "lattice": [[-3.740, 3.740, 3.719], [3.740, -3.740, 3.719], [3.740, 3.740, -3.719]],
  "species": ["Dy", "Ho", "Ho", "Tl", "Tl", "Tl", "Tl"],
  "fractional_positions": [[0.000, 0.000, 0.000], [0.000, 0.500, 0.500], [0.500, 0.000, 0.500], [0.000, 0.000, 0.500], [0.000, 0.500, 0.000], [0.500, 0.000, 0.000], [0.500, 0.500, 0.500]],
  "ef_kj_per_mol_fu": -147.9,
  "relative_energy_kj_per_mol_atoms": 0.0,
  "rho_g_cm3": 10.456
}

{
  "formula": "SmHo3Rh",
  "functional": "GGA-PBE",
  "state": "relaxed",
  "lattice": [[5.395, 0.000, 0.000], [0.000, 5.395, 0.000], [0.000, 0.000, 5.395]],
  "species": ["Sm", "Ho", "Ho", "Ho", "Rh"],
  "fractional_positions": [[0.000, 0.000, 0.000], [0.000, 0.500, 0.500], [0.500, 0.000, 0.500], [0.500, 0.500, 0.000], [0.500, 0.500, 0.500]],
  "ef_kj_per_mol_fu": -120.3,
  "relative_energy_kj_per_mol_atoms": 4.9,
  "rho_g_cm3": 7.912
}

{
  "formula": "K2LiV2",
  "functional": "GGA-PBE",
  "state": "relaxed",
  "lattice": [[-2.316, 2.316, 7.546], [2.316, -2.316, 7.546], [2.316, 2.316, -7.546]],
  "species": ["K", "K", "Li", "V", "V"],
  "fractional_positions": [[0.250, 0.750, 0.500], [0.750, 0.250, 0.500], [0.000, 0.000, 0.000], [0.440, 0.440, 0.000], [0.560, 0.560, 0.000]],
  "ef_kj_per_mol_fu": 551.2,
  "relative_energy_kj_per_mol_atoms": 12.3,
  "rho_g_cm3": 1.919
}

{
  "formula": "RbPd3F9",
  "functional": "GGA-PBE",
  "state": "relaxed",
  "lattice": [[7.787, 0.000, 0.000], [-3.894, 6.744, 0.000], [0.000, 0.000, 4.160]],
  "species": ["Rb", "Pd", "Pd", "Pd", "F", "F", "F", "F", "F", "F", "F", "F", "F"],
  "fractional_positions": [[0.000, 0.000, 0.000], [0.000, 0.500, 0.500], [0.500, 0.000, 0.500], [0.500, 0.500, 0.500], [0.000, 0.500, 0.000], [0.199, 0.399, 0.500], [0.199, 0.801, 0.500], [0.399, 0.199, 0.500], [0.500, 0.000, 0.000], [0.500, 0.500, 0.000], [0.601, 0.801, 0.500], [0.801, 0.199, 0.500], [0.801, 0.601, 0.500]],
  "raw_formation_energy_ev_per_atom": -1.51,
  "rho_g_cm3": 4.376
}

Record order is preserved below.
VASP energy: -5.779, -5.872, -3.537, -5.410, -3.327, -4.079 eV per atom
Record order is preserved below.
Density of states at the Fermi level: 4.2, 4.3, 6.2, 8.6, 4.2, 6.7 states/eV/cell